No. 1
This record from Alexandria describes a relaxed Cu2HgBr crystal. The functional is PBEsol.

Calculated values
Crystal system: orthorhombic
Volume (Å³/f.u.): 75.2
DFT total energy (hartree per atom): -0.09950
Magnetization (μB per atom): 0.0001
E_form (uncorrected) (eV per formula unit): 0.3
ΔE to the lowest computed polymorph (meV per atom): 0

Cell lengths 3.3496, 3.6183, 6.2039 Å; angles 90.00, 90.00, 90.00 degrees
With the nearest neighbours (Å) after each atom.
Element x y z (fractional)
Cu: 0.0000 0.0000 0.1904  1 Cu 2.36, 2 Br 2.55
Cu: 0.0000 0.0000 0.8096  1 Cu 2.36, 2 Br 2.55
Hg: 0.5000 0.5000 0.0000  8 Cu 2.73
Br: 0.5000 0.0000 0.5000  4 Cu 2.55



No. 2
This record from Alexandria describes a relaxed Mg2CdI crystal. The functional is PBEsol.

Calculated values
Crystal system: cubic
Volume (Å³/f.u.): 107.8
DFT total energy (hartree per atom): -0.05528
Magnetization (μB per atom): 0.0003
E_form (uncorrected) (eV per formula unit): 0.4

Cell lengths 5.3416, 5.3416, 5.3416 Å; angles 60.00, 60.00, 60.00 degrees
With the nearest neighbours (Å) after each atom.
Element x y z (fractional)
Mg: 0.2500 0.2500 0.2500  4 I 3.27, 4 Cd 3.27
Mg: 0.7500 0.7500 0.7500  4 Cd 3.27, 4 I 3.27
Cd: 0.0000 0.0000 0.0000  8 Mg 3.27
I: 0.5000 0.5000 0.5000  8 Mg 3.27



No. 3
This record from Alexandria describes a relaxed GdCu5 crystal. The functional is PBEsol.

Calculated values
Crystal system: hexagonal
Volume (Å³/f.u.): 86.1
DFT total energy (hartree per atom): -0.22759
Magnetization (μB per atom): 1.2037
Energy relative to the elements (eV per atom): -0.173

Cell lengths 4.9868, 4.9868, 3.9980 Å; angles 90.00, 90.00, 120.00 degrees
With the nearest neighbours (Å) after each atom.
Element x y z (fractional)
Gd: 0.0000 0.0000 0.0000  18 Cu 2.88-3.20
Cu: 0.0000 0.5000 0.5000  8 Cu 2.46-2.49
Cu: 0.3333 0.6667 0.0000  6 Cu 2.46
Cu: 0.5000 0.0000 0.5000  8 Cu 2.46-2.49
Cu: 0.5000 0.5000 0.5000  8 Cu 2.46-2.49
Cu: 0.6667 0.3333 0.0000  6 Cu 2.46



No. 4
This record from Alexandria describes a relaxed AlHgMo2 crystal. The functional is PBEsol.

Calculated values
Crystal system: trigonal
Volume (Å³/f.u.): 65.5
DFT total energy (hartree per atom): -0.24765
Magnetization (μB per atom): 0.0000
ΔE to the lowest computed polymorph (meV per atom): 96
Energy relative to the elements (eV per atom): 0.310

Cell lengths 9.4691, 9.4691, 9.4691 Å; angles 17.29, 17.29, 17.29 degrees
With the nearest neighbours (Å) after each atom.
Element x y z (fractional)
Al: 0.0000 0.0000 0.0000  6 Mo 2.76, 6 Al 2.85
Hg: 0.5000 0.5000 0.5000  6 Hg 2.85, 6 Mo 2.94
Mo: 0.2539 0.2539 0.2539  3 Al 2.76, 6 Mo 2.85, 3 Hg 2.94
Mo: 0.7461 0.7461 0.7461  3 Al 2.76, 6 Mo 2.85, 3 Hg 2.94



No. 5
This record from Alexandria describes a relaxed CrFeAg crystal. The functional is PBEsol.

Calculated values
Crystal system: tetragonal
Volume (Å³/f.u.): 38.7
DFT total energy (hartree per atom): -0.26086
Magnetization (μB per atom): 0.1480
Energy relative to the elements (eV per atom): 0.407

Cell lengths 5.6233, 5.6233, 5.6233 Å; angles 152.17, 152.17, 39.76 degrees
With the nearest neighbours (Å) after each atom.
Element x y z (fractional)
Cr: 0.0000 0.0000 0.0000  4 Fe 2.28
Fe: 0.6170 0.6170 0.0000  4 Cr 2.28
Ag: 0.3055 0.3055 0.0000  4 Ag 2.70, 4 Fe 2.76, 4 Cr 2.81



No. 6
This record from Alexandria describes a relaxed NaTa4O8 crystal. The functional is PBEsol.

Calculated values
Crystal system: orthorhombic
Volume (Å³/f.u.): 156.8
DFT total energy (hartree per atom): -0.36107
Magnetization (μB per atom): 0.0000
E_form (uncorrected) (eV per formula unit): -34.1

Cell lengths 7.1163, 10.2729, 12.8681 Å; angles 90.00, 90.00, 90.00 degrees
With the nearest neighbours (Å) after each atom.
Element x y z (fractional)
Na: 0.2500 0.2500 0.0056  8 O 2.37-2.60
Na: 0.2500 0.2500 0.2405  8 O 2.36-2.59
Na: 0.2500 0.2500 0.5243  2 O 2.25
Na: 0.7500 0.7500 0.4757  2 O 2.25
Na: 0.7500 0.7500 0.7595  8 O 2.36-2.59
Na: 0.7500 0.7500 0.9944  8 O 2.37-2.60
Ta: 0.0180 0.5320 0.1260  6 O 1.97-2.15
Ta: 0.0180 0.9680 0.1260  6 O 1.97-2.15
Ta: 0.0194 0.5309 0.6252  6 O 1.94-2.13
Ta: 0.0194 0.9691 0.6252  6 O 1.94-2.13
Ta: 0.2500 0.7500 0.0228  4 O 2.01
Ta: 0.2500 0.7500 0.2294  4 O 2.00
Ta: 0.2500 0.7500 0.5221  4 O 2.01
Ta: 0.2500 0.7500 0.7272  4 O 2.01
Ta: 0.4806 0.5309 0.6252  6 O 1.94-2.13
Ta: 0.4806 0.9691 0.6252  6 O 1.94-2.13
Ta: 0.4820 0.5320 0.1260  6 O 1.97-2.15
Ta: 0.4820 0.9680 0.1260  6 O 1.97-2.15
Ta: 0.5180 0.0320 0.8740  6 O 1.97-2.15
Ta: 0.5180 0.4680 0.8740  6 O 1.97-2.15
Ta: 0.5194 0.0309 0.3748  6 O 1.94-2.13
Ta: 0.5194 0.4691 0.3748  6 O 1.94-2.13
Ta: 0.7500 0.2500 0.2728  4 O 2.01
Ta: 0.7500 0.2500 0.4779  4 O 2.01
Ta: 0.7500 0.2500 0.7706  4 O 2.00
Ta: 0.7500 0.2500 0.9772  4 O 2.01
Ta: 0.9806 0.0309 0.3748  6 O 1.94-2.13
Ta: 0.9806 0.4691 0.3748  6 O 1.94-2.13
Ta: 0.9820 0.0320 0.8740  6 O 1.97-2.15
Ta: 0.9820 0.4680 0.8740  6 O 1.97-2.15
O: 0.0573 0.6151 0.7652  3 Ta 2.01-2.13
O: 0.0573 0.8849 0.7652  3 Ta 2.01-2.13
O: 0.0584 0.6141 0.4848  3 Ta 2.01-2.13
O: 0.0580 0.6147 0.9859  3 Ta 2.01-2.15
O: 0.0580 0.8853 0.9859  3 Ta 2.01-2.15
O: 0.0584 0.8859 0.4848  3 Ta 2.01-2.13
O: 0.0623 0.6118 0.2655  3 Ta 2.00-2.11
O: 0.0623 0.8882 0.2655  3 Ta 2.00-2.11
O: 0.2500 0.0703 0.6247  2 Ta 1.94
O: 0.2500 0.0733 0.1239  2 Ta 1.97
O: 0.2500 0.0783 0.8776  2 Ta 1.97
O: 0.2500 0.0860 0.3764  2 Ta 2.00
O: 0.2500 0.4140 0.3764  2 Ta 2.00
O: 0.2500 0.4217 0.8776  2 Ta 1.97
O: 0.2500 0.4267 0.1239  2 Ta 1.97
O: 0.2500 0.4297 0.6247  2 Ta 1.94
O: 0.4377 0.6118 0.2655  3 Ta 2.00-2.11
O: 0.4377 0.8882 0.2655  3 Ta 2.00-2.11
O: 0.4416 0.6141 0.4848  3 Ta 2.01-2.13
O: 0.4420 0.6147 0.9859  3 Ta 2.01-2.15
O: 0.4420 0.8853 0.9859  3 Ta 2.01-2.15
O: 0.4416 0.8859 0.4848  3 Ta 2.01-2.13
O: 0.4427 0.6151 0.7652  3 Ta 2.01-2.13
O: 0.4427 0.8849 0.7652  3 Ta 2.01-2.13
O: 0.5573 0.1151 0.2348  3 Ta 2.01-2.13
O: 0.5573 0.3849 0.2348  3 Ta 2.01-2.13
O: 0.5584 0.1141 0.5152  3 Ta 2.01-2.13
O: 0.5580 0.1147 0.0141  3 Ta 2.01-2.15
O: 0.5580 0.3853 0.0141  3 Ta 2.01-2.15
O: 0.5584 0.3859 0.5152  3 Ta 2.01-2.13
O: 0.5623 0.1118 0.7345  3 Ta 2.00-2.11
O: 0.5623 0.3882 0.7345  3 Ta 2.00-2.11
O: 0.7500 0.5703 0.3753  2 Ta 1.94
O: 0.7500 0.5733 0.8761  2 Ta 1.97
O: 0.7500 0.5783 0.1224  2 Ta 1.97
O: 0.7500 0.5860 0.6236  2 Ta 2.00
O: 0.7500 0.9140 0.6236  2 Ta 2.00
O: 0.7500 0.9217 0.1224  2 Ta 1.97
O: 0.7500 0.9267 0.8761  2 Ta 1.97
O: 0.7500 0.9297 0.3753  2 Ta 1.94
O: 0.9377 0.1118 0.7345  3 Ta 2.00-2.11
O: 0.9377 0.3882 0.7345  3 Ta 2.00-2.11
O: 0.9416 0.1141 0.5152  3 Ta 2.01-2.13
O: 0.9420 0.1147 0.0141  3 Ta 2.01-2.15
O: 0.9420 0.3853 0.0141  3 Ta 2.01-2.15
O: 0.9416 0.3859 0.5152  3 Ta 2.01-2.13
O: 0.9427 0.1151 0.2348  3 Ta 2.01-2.13
O: 0.9427 0.3849 0.2348  3 Ta 2.01-2.13



No. 7
This record from Alexandria describes a relaxed TlIn2Cu crystal. The functional is PBEsol.

Calculated values
Crystal system: tetragonal
Volume (Å³/f.u.): 87.8
DFT total energy (hartree per atom): -0.11628
Magnetization (μB per atom): 0.0000
Energy relative to the elements (eV per atom): 0.068

Cell lengths 3.1634, 3.1634, 8.7768 Å; angles 90.00, 90.00, 90.00 degrees
With the nearest neighbours (Å) after each atom.
Element x y z (fractional)
Tl: 0.0000 0.0000 0.0000  4 Tl 3.16, 8 In 3.50
In: 0.5000 0.5000 0.3074  4 Cu 2.80
In: 0.5000 0.5000 0.6926  4 Cu 2.80
Cu: 0.0000 0.0000 0.5000  8 In 2.80



No. 8
This record from Alexandria describes a relaxed CoSi3 crystal. The functional is PBEsol.

Calculated values
Crystal system: hexagonal
Volume (Å³/f.u.): 49.2
DFT total energy (hartree per atom): -0.22203
Magnetization (μB per atom): 0.0010
E_form (uncorrected) (eV per formula unit): 0.8

Cell lengths 5.1554, 5.1554, 4.2744 Å; angles 90.00, 90.00, 120.00 degrees
With the nearest neighbours (Å) after each atom.
Element x y z (fractional)
Co: 0.3333 0.6667 0.2500  12 Si 2.58
Co: 0.6667 0.3333 0.7500  12 Si 2.58
Si: 0.1718 0.3437 0.7500  8 Si 2.50-2.66, 4 Co 2.58
Si: 0.1718 0.8282 0.7500  8 Si 2.50-2.66, 4 Co 2.58
Si: 0.3437 0.1718 0.2500  8 Si 2.50-2.66, 4 Co 2.58
Si: 0.6563 0.8282 0.7500  8 Si 2.50-2.66, 4 Co 2.58
Si: 0.8282 0.1718 0.2500  8 Si 2.50-2.66, 4 Co 2.58
Si: 0.8282 0.6563 0.2500  8 Si 2.50-2.66, 4 Co 2.58



Q: What is the volume in the first record?
A: 75.2 Å³/f.u.